A geometry-optimized EuThIrPt structure. Source: Alexandria, functional GGA-PBE.

The value obtained for the magnetic moment is 7.06 μB/f.u. Its space group is F-43m. The value obtained for the formation energy is -78 kJ/mol of atoms. For the total energy, the calculation gives -35.811 eV per formula unit.

Lattice parameters (Å, degrees): 5.047 5.047 5.047 60.00 60.00 60.00
Last column: magnetic moment on the atom in μB.
Element x y z (fractional)
1 Eu 0.000 0.000 0.000  6.76
2 Ir 0.250 0.250 0.250  -0.06
3 Pt 0.750 0.750 0.750  0.00
4 Th 0.500 0.500 0.500  0.09

***

A geometry-optimized EuYIrPt structure. Source: Alexandria, functional GGA-PBE.

The value obtained for the magnetic moment is 6.70 μB/f.u. Its space group is F-43m. The value obtained for the formation energy is -72 kJ/mol of atoms. For the total energy, the calculation gives -34.636 eV per formula unit.

Lattice parameters (Å, degrees): 4.954 4.954 4.954 60.00 60.00 60.00
Last column: magnetic moment on the atom in μB.
Element x y z (fractional)
1 Eu 0.500 0.500 0.500  6.67
2 Y 0.000 0.000 0.000  0.03
3 Ir 0.750 0.750 0.750  -0.15
4 Pt 0.250 0.250 0.250  -0.05

***

A geometry-optimized EuPuIr structure. Source: Alexandria, functional GGA-PBE.

The value obtained for the magnetic moment is 1.30 μB/f.u. Its space group is P3m1. The value obtained for the formation energy is -6 kJ/mol of atoms. For the total energy, the calculation gives -33.639 eV per formula unit.

Lattice parameters (Å, degrees): 3.196 4.874 4.874 120.00 90.00 90.00
Last column: magnetic moment on the atom in μB.
Element x y z (fractional)
1 Eu 0.668 0.667 0.333  6.61
2 Ir 0.039 0.000 0.000  0.07
3 Pu 0.293 0.333 0.667  -5.28

***

A geometry-optimized EuPuIr2 structure. Source: Alexandria, functional GGA-PBE.

The value obtained for the magnetic moment is 10.73 μB/f.u. Its space group is P4/mmm. The value obtained for the formation energy is -29 kJ/mol of atoms. For the total energy, the calculation gives -43.525 eV per formula unit.

Lattice parameters (Å, degrees): 3.460 4.894 4.894 90.00 90.00 90.00
Last column: magnetic moment on the atom in μB.
Element x y z (fractional)
1 Eu 0.500 0.000 0.000  6.64
2 Ir 0.000 0.000 0.500  -0.59
3 Ir 0.000 0.500 0.000  -0.59
4 Pu 0.500 0.500 0.500  4.91

***

A geometry-optimized EuPu2Ir structure. Source: Alexandria, functional GGA-PBE.

The value obtained for the magnetic moment is 18.83 μB/f.u. Its space group is P4/mmm. The value obtained for the formation energy is -14 kJ/mol of atoms. For the total energy, the calculation gives -48.364 eV per formula unit.

Lattice parameters (Å, degrees): 3.544 3.544 8.549 90.00 90.00 90.00
Last column: magnetic moment on the atom in μB.
Element x y z (fractional)
1 Eu 0.500 0.500 0.500  7.08
2 Ir 0.500 0.500 0.000  -0.35
3 Pu 0.000 0.000 0.183  5.39
4 Pu 0.000 0.000 0.817  5.39

***

A geometry-optimized EuPu3Ir structure. Source: Alexandria, functional GGA-PBE.

The value obtained for the magnetic moment is 24.47 μB/f.u. Its space group is Pm-3m. The value obtained for the formation energy is 4 kJ/mol of atoms. For the total energy, the calculation gives -61.907 eV per formula unit.

Lattice parameters (Å, degrees): 5.476 5.476 5.476 90.00 90.00 90.00
Last column: magnetic moment on the atom in μB.
Element x y z (fractional)
1 Eu 0.500 0.500 0.500  7.00
2 Ir 0.000 0.000 0.000  -0.37
3 Pu 0.000 0.500 0.000  5.38
4 Pu 0.000 0.000 0.500  5.38
5 Pu 0.500 0.000 0.000  5.38

***

A geometry-optimized EuPuIr structure. Source: Alexandria, functional GGA-PBE.

The value obtained for the magnetic moment is 12.40 μB/f.u. Its space group is I4mm. The value obtained for the formation energy is -26 kJ/mol of atoms. For the total energy, the calculation gives -34.270 eV per formula unit.

Lattice parameters (Å, degrees): 3.639 3.639 6.256 106.91 106.91 90.00
Last column: magnetic moment on the atom in μB.
Element x y z (fractional)
1 Eu 0.014 0.014 0.028  6.94
2 Ir 0.694 0.694 0.387  -0.39
3 Pu 0.293 0.293 0.585  5.16

***

A geometry-optimized EuPuIr structure. Source: Alexandria, functional GGA-PBE.

The value obtained for the magnetic moment is 1.63 μB/f.u. Its space group is F-43m. The value obtained for the formation energy is -17 kJ/mol of atoms. For the total energy, the calculation gives -34.005 eV per formula unit.

Lattice parameters (Å, degrees): 4.857 4.857 4.857 60.00 60.00 60.00
Last column: magnetic moment on the atom in μB.
Element x y z (fractional)
1 Eu 0.500 0.500 0.500  -6.69
2 Ir 0.250 0.250 0.250  -0.17
3 Pu 0.000 0.000 0.000  5.19

***

A geometry-optimized EuPuIr2 structure. Source: Alexandria, functional GGA-PBE.

The value obtained for the magnetic moment is 2.26 μB/f.u. Its space group is Fm-3m. The value obtained for the formation energy is -27 kJ/mol of atoms. For the total energy, the calculation gives -43.439 eV per formula unit.

Lattice parameters (Å, degrees): 4.890 4.890 4.890 60.00 60.00 60.00
Last column: magnetic moment on the atom in μB.
Element x y z (fractional)
1 Eu 0.000 0.000 0.000  6.61
2 Ir 0.250 0.250 0.250  0.23
3 Ir 0.750 0.750 0.750  0.23
4 Pu 0.500 0.500 0.500  -4.79

***

A geometry-optimized EuPuIrRu structure. Source: Alexandria, functional GGA-PBE.

The value obtained for the magnetic moment is 2.56 μB/f.u. Its space group is F-43m. The value obtained for the formation energy is -10 kJ/mol of atoms. For the total energy, the calculation gives -43.162 eV per formula unit.

Lattice parameters (Å, degrees): 4.853 4.853 4.853 60.00 60.00 60.00
Last column: magnetic moment on the atom in μB.
Element x y z (fractional)
1 Eu 0.500 0.500 0.500  6.61
2 Ru 0.750 0.750 0.750  0.49
3 Ir 0.250 0.250 0.250  0.24
4 Pu 0.000 0.000 0.000  -4.77

***

A geometry-optimized RbEu2Ir structure. Source: Alexandria, functional GGA-PBE.

The value obtained for the magnetic moment is 13.88 μB/f.u. Its space group is R-3m. The value obtained for the formation energy is -9 kJ/mol of atoms. For the total energy, the calculation gives -30.762 eV per formula unit.

Lattice parameters (Å, degrees): 4.271 4.271 11.632 79.42 79.42 60.00
Last column: magnetic moment on the atom in μB.
Element x y z (fractional)
1 Eu 0.123 0.123 0.630  6.79
2 Eu 0.877 0.877 0.370  6.79
3 Ir 0.500 0.500 0.500  -0.28
4 Rb 0.000 0.000 0.000  0.00

***

A geometry-optimized RbEu2Ir structure. Source: Alexandria, functional GGA-PBE.

The value obtained for the magnetic moment is 14.30 μB/f.u. Its space group is P4/mmm. The value obtained for the formation energy is -8 kJ/mol of atoms. For the total energy, the calculation gives -30.719 eV per formula unit.

Lattice parameters (Å, degrees): 3.660 3.660 11.120 90.00 90.00 90.00
Last column: magnetic moment on the atom in μB.
Element x y z (fractional)
1 Eu 0.000 0.000 0.853  6.88
2 Eu 0.000 0.000 0.147  6.88
3 Ir 0.500 0.500 0.000  -0.37
4 Rb 0.500 0.500 0.500  0.01

***

A geometry-optimized Eu2IrRh structure. Source: Alexandria, functional GGA-PBE.

The value obtained for the magnetic moment is 13.15 μB/f.u. Its space group is Fm-3m. The value obtained for the formation energy is -24 kJ/mol of atoms. For the total energy, the calculation gives -37.764 eV per formula unit.

Lattice parameters (Å, degrees): 4.956 4.956 4.956 60.00 60.00 60.00
Last column: magnetic moment on the atom in μB.
Element x y z (fractional)
1 Eu 0.250 0.250 0.250  6.66
2 Eu 0.750 0.750 0.750  6.66
3 Ir 0.500 0.500 0.500  -0.27
4 Rh 0.000 0.000 0.000  -0.27